[1]
Crystalline Ce3ErIr3 at its relaxed geometry. Source: the Alexandria database, functional PBE.

Lattice parameters (Å, degrees): 6.892 6.892 7.019 89.49 89.49 97.72
Last column: magnetic moment on the atom in μB.
Fractional positions:
Ce 0.645 0.645 0.391  0.47
Ce 0.185 0.815 0.500  0.14
Ce 0.815 0.185 0.500  0.14
Ce 0.250 0.750 0.000  0.04
Ce 0.750 0.250 0.000  0.04
Ce 0.355 0.355 0.609  0.47
Er 0.754 0.754 0.884  0.02
Er 0.246 0.246 0.116  0.02
Ir 0.938 0.938 0.210  -0.01
Ir 0.027 0.484 0.768  -0.02
Ir 0.484 0.027 0.768  -0.02
Ir 0.973 0.516 0.232  -0.02
Ir 0.516 0.973 0.232  -0.02
Ir 0.062 0.062 0.790  -0.01

Output
Space-group type: No. 12
ΔE_f, eV/atom: -0.628

***

[2]
Crystalline LiCeErIr at its relaxed geometry. Source: the Alexandria database, functional PBE.

Lattice parameters (Å, degrees): 4.945 4.945 4.945 60.00 60.00 60.00
Last column: magnetic moment on the atom in μB.
Fractional positions:
Ir 0.000 0.000 0.000  -0.03
Li 0.500 0.500 0.500  0.01
Ce 0.750 0.750 0.750  0.53
Er 0.250 0.250 0.250  0.02

Output
Space-group type: No. 216
ΔE_f, eV/atom: -0.447

***

[3]
Crystalline CeEr2IrN4 at its relaxed geometry. Source: the Alexandria database, functional PBE.

Lattice parameters (Å, degrees): 3.356 6.064 11.538 90.00 90.00 106.07
Fractional positions:
Ce 0.115 0.230 0.750
Ce 0.885 0.770 0.250
Er 0.371 0.742 0.546
Er 0.629 0.258 0.046
Er 0.629 0.258 0.454
Er 0.371 0.742 0.954
Ir 0.855 0.709 0.750
Ir 0.145 0.291 0.250
N 0.276 0.552 0.129
N 0.724 0.448 0.629
N 0.724 0.448 0.871
N 0.276 0.552 0.371
N 0.000 0.000 0.500
N 0.000 0.000 0.000
N 0.459 0.917 0.750
N 0.541 0.083 0.250

Output
Formation energy (no corrections), eV/atom: -1.05
Space-group type: No. 63

***

[4]
Crystalline CeErP2Ir5 at its relaxed geometry. Source: the Alexandria database, functional PBE.

Lattice parameters (Å, degrees): 4.032 4.032 10.951 90.00 90.00 90.00
Last column: magnetic moment on the atom in μB.
Fractional positions:
Ce 0.000 0.000 0.500  0.64
Er 0.000 0.000 0.000  0.00
P 0.500 0.500 0.290  0.00
P 0.500 0.500 0.710  0.00
Ir 0.000 0.500 0.195  0.00
Ir 0.500 0.000 0.195  0.00
Ir 0.000 0.500 0.805  0.00
Ir 0.500 0.000 0.805  0.00
Ir 0.500 0.500 0.500  -0.04

Output
Space-group type: No. 123
ΔE_f, eV/atom: -0.653

***

[5]
Crystalline Ce2ErP3Ir4 at its relaxed geometry. Source: the Alexandria database, functional PBE.

Lattice parameters (Å, degrees): 4.005 4.005 11.270 90.00 90.00 90.00
Last column: magnetic moment on the atom in μB.
Fractional positions:
Ce 0.500 0.000 0.229  0.15
Ce 0.000 0.500 0.771  0.15
Er 0.500 0.500 0.500  0.02
P 0.000 0.000 0.500  0.00
P 0.500 0.000 0.878  0.00
P 0.000 0.500 0.122  0.00
Ir 0.500 0.500 0.000  0.00
Ir 0.000 0.000 0.000  0.00
Ir 0.500 0.000 0.672  -0.01
Ir 0.000 0.500 0.328  -0.01

Output
Space-group type: No. 115
ΔE_f, eV/atom: -0.964

***

[6]
Crystalline CeErPuIr at its relaxed geometry. Source: the Alexandria database, functional PBE.

Lattice parameters (Å, degrees): 5.044 5.044 5.044 60.00 60.00 60.00
Last column: magnetic moment on the atom in μB.
Fractional positions:
Er 0.250 0.250 0.250  0.43
Ir 0.500 0.500 0.500  -0.12
Ce 0.750 0.750 0.750  0.89
Pu 0.000 0.000 0.000  5.69

Output
Space-group type: No. 216
ΔE_f, eV/atom: -0.174

***

[7]
Crystalline CeErIrRu at its relaxed geometry. Source: the Alexandria database, functional PBE.

Lattice parameters (Å, degrees): 3.479 3.479 6.690 90.00 90.00 90.00
Fractional positions:
Ce 0.500 0.500 0.108
Er 0.500 0.500 0.609
Ir 0.000 0.000 0.864
Ru 0.000 0.000 0.347

Output
Polymorph energy (0 for the lowest one), meV/atom: 0
Space-group type: No. 99
ΔE_f, eV/atom: -0.587

***

[8]
Crystalline CeErIrRu at its relaxed geometry. Source: the Alexandria database, functional PBE.

Lattice parameters (Å, degrees): 4.857 4.857 4.857 60.00 60.00 60.00
Last column: magnetic moment on the atom in μB.
Fractional positions:
Ru 0.750 0.750 0.750  0.01
Ir 0.250 0.250 0.250  0.00
Ce 0.500 0.500 0.500  -0.13
Er 0.000 0.000 0.000  0.00

Output
Polymorph energy (0 for the lowest one), meV/atom: 14
Space-group type: No. 216
ΔE_f, eV/atom: -0.573

***

no.,total DFT energy (no corrections) (eV per atom)
1,-7.62
2,-5.76
3,-8.20
4,-7.94
5,-7.77
6,-8.60
7,-7.75
8,-7.73